Record 1
Computed, not measured: a relaxed EuZr2Mo crystal at the PBE level of DFT.

Summary:
The calculation puts the density of states at the Fermi level at 1.251 states/eV/atom. As for the total energy: -9.182 eV/atom. The value obtained for the volume is 98.4 Å³ per cell. Its density is 7.26 g/cm3. As for the space group: R-3m, No. 166. The calculation puts the formation energy at 0.368 eV per atom.

Structure (POSCAR):
```
EuZr2Mo
1.0
1.6430 0.9486 10.5200
-1.6430 0.9486 10.5200
0.0000 -1.8972 10.5200
Eu Zr Mo
1 2 1
Cartesian
0.0000 0.0000 0.0000 Eu
0.0000 0.0000 3.2310 Zr
0.0000 0.0000 28.3289 Zr
0.0000 0.0000 15.7800 Mo
```

***

Record 2
Computed, not measured: a relaxed EuN2 crystal at the PBE level of DFT.

Summary:
The calculation puts the density of states at the Fermi level at 0.827 states/eV/atom. As for the total energy: -8.020 eV/atom. The value obtained for the volume is 123.4 Å³ per cell. Its density is 4.84 g/cm3. As for the space group: I4_1/amd, No. 141. The calculation puts the formation energy from raw total energies at 955.2 meV/atom.

Structure (POSCAR):
```
EuN2
1.0
-2.2305 2.2305 6.2021
2.2305 -2.2305 6.2021
2.2305 2.2305 -6.2021
Eu N
2 4
Cartesian
2.2305 1.1152 1.5505 Eu
0.0000 1.1152 4.6516 Eu
2.2305 1.1152 -0.8298 N
0.0000 1.1152 2.2712 N
2.2305 1.1152 3.9308 N
0.0000 1.1152 7.0319 N
```